Density functional theory data (PBE-GGA) for an optimized crystal structure of ZnB2Au.

## Properties
E: -3.038 eV per atom
V: 12.5 Å³/atom

Cell and atoms, written as CIF:
```
data_ZnB2Au
_chemical_formula_sum 'Zn4 B8 Au4'
_cell_length_a 5.8506
_cell_length_b 5.8506
_cell_length_c 5.8506
_cell_angle_alpha 90.00
_cell_angle_beta 90.00
_cell_angle_gamma 90.00
_space_group_name_H-M_alt 'F -4 3 m'
_space_group_IT_number 216
_space_group_name_Hall 'F -4 2 3'
loop_
_atom_site_label
_atom_site_fract_x
_atom_site_fract_y
_atom_site_fract_z
Zn1 0.0000 0.0000 0.0000
B1 0.0000 0.0000 0.5000
B2 0.2500 0.2500 0.2500
Au1 0.2500 0.2500 0.7500
```